# 1
# TmH8Rh2

A geometry-optimized TmH8Rh2 structure (PBE-GGA, the Alexandria database).

Results
excess energy over the best structure of this formula in the dataset	43.8	meV per atom

Unit cell a=4.374 b=4.374 c=4.637 alpha=90.00 beta=90.00 gamma=90.00
Sites, in units of the cell vectors:
Tm: 0.500 0.500 0.500
H: 0.781 0.781 0.201
H: 0.781 0.219 0.799
H: 0.781 0.781 0.799
H: 0.781 0.219 0.201
H: 0.219 0.781 0.201
H: 0.219 0.781 0.799
H: 0.219 0.219 0.201
H: 0.219 0.219 0.799
Rh: 0.500 0.000 0.000
Rh: 0.000 0.500 0.000

***

# 2
# Tm6HRh2

A geometry-optimized Tm6HRh2 structure (PBE-GGA, the Alexandria database).

Results
electronic total energy	-100.4	eV per cell

Unit cell a=6.194 b=7.053 c=9.322 alpha=90.00 beta=90.76 gamma=90.00
Sites, in units of the cell vectors:
Tm: 0.137 0.034 0.250
Tm: 0.171 0.324 0.563
Tm: 0.169 0.324 0.936
Tm: 0.331 0.824 0.564
Tm: 0.329 0.824 0.937
Tm: 0.363 0.534 0.250
Tm: 0.863 0.966 0.750
Tm: 0.829 0.676 0.437
Tm: 0.831 0.676 0.064
Tm: 0.669 0.176 0.436
Tm: 0.671 0.176 0.063
Tm: 0.637 0.466 0.750
H: 0.500 0.500 0.000
H: 0.000 0.000 0.500
Rh: 0.058 0.618 0.744
Rh: 0.442 0.118 0.756
Rh: 0.558 0.882 0.244
Rh: 0.942 0.382 0.256

***

# 3
# TmH12Rh6

A geometry-optimized TmH12Rh6 structure (PBE-GGA, the Alexandria database).

Results
electronic total energy	-92.1	eV per cell

Unit cell a=5.434 b=5.434 c=5.434 alpha=101.67 beta=101.67 gamma=101.67
Sites, in units of the cell vectors:
Tm: 0.000 0.000 0.000
H: 0.451 0.180 0.572
H: 0.180 0.572 0.451
H: 0.572 0.451 0.180
H: 0.549 0.820 0.428
H: 0.820 0.428 0.549
H: 0.428 0.549 0.820
H: 0.132 0.958 0.637
H: 0.363 0.868 0.042
H: 0.042 0.363 0.868
H: 0.868 0.042 0.363
H: 0.637 0.132 0.958
H: 0.958 0.637 0.132
Rh: 0.159 0.277 0.578
Rh: 0.723 0.422 0.841
Rh: 0.422 0.841 0.723
Rh: 0.841 0.723 0.422
Rh: 0.277 0.578 0.159
Rh: 0.578 0.159 0.277